(1)
! ScNiTe4, relaxed, DFT PBE; values from VASP
! - Calculated total energy: -3.47 eV per atom
! - Crystal system: cubic
! - SG: No. 216
! - Size of the total moment: 0.32 μB/f.u.
! - D(E_F): 7.8 states/eV/cell
&SYSTEM
  ibrav = 0, nat = 6, ntyp = 3
/
ATOMIC_SPECIES
Sc 44.96 Sc.upf
Ni 58.69 Ni.upf
Te 127.60 Te.upf
CELL_PARAMETERS angstrom
0.000 4.373 4.373
4.373 0.000 4.373
4.373 4.373 0.000
ATOMIC_POSITIONS angstrom
Sc 0.000 0.000 0.000
Ni 2.186 2.186 2.186
Te 5.462 3.283 3.283
Te 3.283 5.462 3.283
Te 3.283 3.283 5.462
Te 5.462 5.462 5.462

***

(2)
! K3Tl4Se4, relaxed, DFT PBE; values from VASP
! - Calculated total energy: -3.10 eV per atom
! - Crystal system: orthorhombic
! - SG: No. 71
! - Size of the total moment: 0.00 μB/f.u.
! - D(E_F): 2.4 states/eV/cell
&SYSTEM
  ibrav = 0, nat = 11, ntyp = 3
/
ATOMIC_SPECIES
K 39.10 K.upf
Tl 204.38 Tl.upf
Se 78.96 Se.upf
CELL_PARAMETERS angstrom
-2.275 4.956 8.037
2.275 -4.956 8.037
2.275 4.956 -8.037
ATOMIC_POSITIONS angstrom
K 0.000 0.000 0.000
K 2.275 0.000 6.302
K 0.000 4.956 1.735
Tl 2.275 1.951 -2.779
Tl 2.275 1.951 2.779
Tl 0.000 3.005 5.258
Tl 0.000 3.005 10.816
Se 0.000 0.000 3.476
Se 2.275 2.704 0.000
Se 0.000 2.252 8.037
Se 0.000 0.000 12.598

***

(3)
! CaAc2AlPd6, relaxed, DFT PBE; values from VASP
! - Calculated total energy: -5.17 eV per atom
! - Energy of formation: -6.60 eV per formula unit
! - Crystal system: trigonal
! - SG: No. 166
! - Size of the total moment: 0.00 μB/f.u.
! - D(E_F): 9.2 states/eV/cell
&SYSTEM
  ibrav = 0, nat = 20, ntyp = 4
/
ATOMIC_SPECIES
Ca 40.08 Ca.upf
Ac 227.00 Ac.upf
Al 26.98 Al.upf
Pd 106.42 Pd.upf
CELL_PARAMETERS angstrom
3.281 1.894 12.534
-3.281 1.894 12.534
0.000 -3.789 12.534
ATOMIC_POSITIONS angstrom
Ca 0.000 0.000 2.937
Ca 0.000 0.000 34.666
Ac 0.000 0.000 8.036
Ac 0.000 0.000 14.211
Ac 0.000 0.000 23.392
Ac 0.000 0.000 29.567
Al 0.000 0.000 0.000
Al 0.000 0.000 18.802
Pd -1.878 -1.084 19.837
Pd 0.000 -1.573 11.429
Pd -1.362 0.786 11.429
Pd 0.000 -2.168 17.766
Pd -1.878 1.084 17.766
Pd -1.362 -0.786 26.174
Pd 1.362 0.786 11.429
Pd 1.878 -1.084 19.837
Pd 0.000 2.168 19.837
Pd 1.362 -0.786 26.174
Pd 0.000 1.573 26.174
Pd 1.878 1.084 17.766